Na2MnZn PBE relaxed; ΔH_f (0 K) = 0.58 eV/atom; calculated total energy = -2.6883 eV/atom; spin magnetization = 4.21 μB per formula unit
1.0
8.386 0.000 0.000
0.000 8.386 0.000
4.193 4.193 2.709
Na Zn Mn
4 2 2
Cartesian
6.506 2.096 0.677 Na
1.880 6.289 0.677 Na
6.289 6.073 2.032 Na
10.482 10.699 2.032 Na
0.000 0.000 0.000 Zn
8.386 4.193 1.355 Zn
4.193 4.193 0.000 Mn
4.193 8.386 1.355 Mn